Density functional theory data (SCAN) for a crystal of KYRuN2 relaxed with PBEsol.

The structure in extended XYZ format:
```
5
Lattice="4.574 0.000 0.000 0.000 4.574 0.000 0.000 0.000 5.028" Properties=species:S:1:pos:R:3 pbc="T T T"
K 0.000 0.000 0.000
Y 2.287 2.287 2.514
Ru 2.287 2.287 0.000
N 0.000 2.287 2.514
N 2.287 0.000 2.514
```

Results
- Uncorrected formation energy: 1208 meV/atom
- Fermi-level density of states: 3.66 states/eV/cell